A geometry-optimized Cs2Sr3YF12 structure. Source: the Alexandria database, functional PBE.

Output
**Formation energy without anion corrections**: -3.41 eV/atom
**E_tot**: -5.39 eV/atom
**Total moment**: 1.39 μB per cell

abc: 8.7114 8.7114 8.7114
angles: 58.86 58.86 58.86
Positions (direct):
Cs (0.1007, 0.1007, 0.1007)
Cs (0.8993, 0.8993, 0.8993)
Sr (0.0000, 0.5000, 0.5000)
Sr (0.5000, 0.0000, 0.5000)
Sr (0.5000, 0.5000, 0.0000)
Y (0.5000, 0.5000, 0.5000)
F (0.1575, 0.1575, 0.5927)
F (0.1575, 0.5927, 0.1575)
F (0.2011, 0.5600, 0.5600)
F (0.4073, 0.8425, 0.8425)
F (0.4400, 0.4400, 0.7989)
F (0.4400, 0.7989, 0.4400)
F (0.5600, 0.2011, 0.5600)
F (0.5600, 0.5600, 0.2011)
F (0.5927, 0.1575, 0.1575)
F (0.7989, 0.4400, 0.4400)
F (0.8425, 0.4073, 0.8425)
F (0.8425, 0.8425, 0.4073)